K2HfU2Te6: optimized geometry, GGA-PBE.

As for the energy relative to the elements, uncorrected: -837 meV per atom. The value obtained for the density of states at the Fermi level is 1.171 states/eV per atom.

The space group is C2/m (No. 12) and the conventional cell measures 7.451, 12.855 and 8.942 Å, with angles of 90.00, 106.91 and 90.00 degrees. The asymmetric unit holds K at (0.000, 0.171, 0.000), Hf at (0.000, 0.000, 0.500), U at (0.000, 0.332, 0.500), Te at (0.233, 0.157, 0.707) and Te at (0.247, 0.000, 0.295).